SrCrBi2S: optimized geometry, PBE.

The structure in POSCAR format:
```
SrCrBi2S
1.0
5.7621 0.0000 0.0000
0.0000 5.7621 0.0000
0.0000 0.0000 4.3238
Sr Cr Bi S
1 1 2 1
Cartesian
0.0000 0.0000 0.0000
2.8811 2.8811 2.1619
0.0000 2.8811 2.1619
2.8811 0.0000 2.1619
2.8811 2.8811 0.0000
```

Summary:
raw formation energy = -197 meV per atom
energy = -4.8359 eV/atom
total magnetic moment = 1.9 μB per cell
space group = No. 123
density = 6820 kg/m³


CrTcBi2S: optimized geometry, PBE.

The structure in POSCAR format:
```
CrTcBi2S
1.0
5.2596 0.0000 0.0000
0.0000 5.2596 0.0000
0.0000 0.0000 4.7027
Cr Tc Bi S
1 1 2 1
Cartesian
0.0000 0.0000 0.0000
0.0000 0.0000 2.3513
0.0000 2.6298 2.3513
2.6298 0.0000 2.3513
2.6298 2.6298 0.0000
```

Summary:
raw formation energy = 767 meV per atom
energy = -5.6088 eV/atom
total magnetic moment = 3.6 μB per cell
space group = No. 123
density = 7659 kg/m³


Zn2CrBiS: optimized geometry, PBE.

The structure in POSCAR format:
```
Zn2CrBiS
1.0
4.8339 0.0000 0.0000
0.0000 4.8339 0.0000
0.0000 0.0000 4.2728
Zn Cr Bi S
2 1 1 1
Cartesian
0.0000 2.4169 0.0000
2.4169 0.0000 0.0000
0.0000 0.0000 2.1364
2.4169 2.4169 2.1364
0.0000 0.0000 0.0000
```

Summary:
raw formation energy = 464 meV per atom
energy = -3.5722 eV/atom
total magnetic moment = 0.0 μB per cell
space group = No. 123
density = 7050 kg/m³


CrBi2Sb2: optimized geometry, PBE.

The structure in POSCAR format:
```
CrBi2Sb2
1.0
4.3651 0.0000 0.0000
0.0000 4.3651 0.0000
0.0000 0.0000 16.4931
Cr Bi Sb
2 4 4
Cartesian
0.0000 0.0000 0.0000
2.1825 2.1825 8.2466
0.0000 2.1825 4.1233
0.0000 2.1825 12.3698
2.1825 0.0000 4.1233
2.1825 0.0000 12.3698
0.0000 0.0000 6.8370
0.0000 0.0000 9.6562
2.1825 2.1825 1.4096
2.1825 2.1825 15.0835
```

Summary:
energy above the lowest structure with this stoichiometry = 331 meV per atom
raw formation energy = 571 meV per atom
energy = -4.5550 eV/atom
total magnetic moment = 9.0 μB per cell
space group = No. 139
density = 7540 kg/m³